No. 1
{
  "formula": "ZrTeCN2",
  "functional": "PBE",
  "state": "relaxed",
  "cell": [[-2.598, -2.977, 0.744], [2.997, -2.252, 1.452], [-1.043, 2.365, 5.821]],
  "species": ["C", "Te", "Zr", "N", "N"],
  "fractional_positions": [[0.500, 0.500, 0.500], [0.000, 0.000, 0.500], [0.000, 0.000, 0.000], [0.000, 0.500, 0.000], [0.500, 0.000, 0.000]],
  "relative_energy_mev_per_atom": 0,
  "dft_energy_ev_per_atom": -5.9013,
  "total_magnetization_mub_per_atom": 0.123,
  "formation_energy_uncorrected_mev_per_atom": 1611.6
}

No. 2
{
  "formula": "ZrTeCN2",
  "functional": "PBE",
  "state": "relaxed",
  "cell": [[-2.534, -2.075, 2.317], [-1.058, -2.236, -3.159], [3.051, -2.719, 0.902]],
  "species": ["C", "Te", "Zr", "N", "N"],
  "fractional_positions": [[0.000, 0.000, 0.000], [0.000, 0.000, 0.500], [0.500, 0.500, 0.500], [0.000, 0.500, 0.000], [0.500, 0.000, 0.000]],
  "relative_energy_mev_per_atom": 157,
  "dft_energy_ev_per_atom": -5.7447,
  "total_magnetization_mub_per_atom": 0.000,
  "formation_energy_uncorrected_mev_per_atom": 1768.2
}

No. 3
{
  "formula": "Th5C4N",
  "functional": "PBE",
  "state": "relaxed",
  "cell": [[-5.135, 1.364, -0.018], [-2.944, -0.811, -5.776], [-4.053, -4.891, 1.531]],
  "species": ["Th", "Th", "Th", "Th", "Th", "C", "C", "C", "C", "N"],
  "fractional_positions": [[0.902, 0.398, 0.800], [0.300, 0.800, 0.602], [0.702, 0.200, 0.398], [0.100, 0.602, 0.200], [0.501, 0.000, 0.000], [0.403, 0.396, 0.800], [0.799, 0.800, 0.604], [0.203, 0.200, 0.396], [0.599, 0.604, 0.200], [0.001, 0.000, 0.000]],
  "dft_energy_ev_per_atom": -8.7791,
  "total_magnetization_mub_per_atom": 0.000,
  "formation_energy_uncorrected_mev_per_atom": -547.1
}